[1]
! NdF PBE-GGA optimized geometry; values from VASP
&SYSTEM
  ibrav = 0, nat = 4, ntyp = 2
/
ATOMIC_SPECIES
Nd 144.24 Nd.upf
F 19.00 F.upf
ATOMIC_POSITIONS angstrom
Nd 0.000 2.250 1.387
Nd 1.948 1.125 4.160
F 0.000 0.000 0.000
F 0.000 0.000 2.774
CELL_PARAMETERS angstrom
3.897 0.000 0.000
-1.948 3.375 0.000
0.000 0.000 5.547
! SG   P6_3/mmc
! M_tot   0.00 μB per formula unit
! ΔE to the lowest computed polymorph   0 meV/atom

[2]
! Dy2Ho2I2Br3N PBE-GGA optimized geometry; values from VASP
&SYSTEM
  ibrav = 0, nat = 10, ntyp = 5
/
ATOMIC_SPECIES
Dy 162.50 Dy.upf
Ho 164.93 Ho.upf
I 126.90 I.upf
Br 79.90 Br.upf
N 14.01 N.upf
ATOMIC_POSITIONS angstrom
Dy -0.469 0.000 2.404
Dy 17.162 0.000 5.547
Ho 6.091 0.000 3.458
Ho 10.602 0.000 4.493
I 2.641 0.000 2.447
I 14.052 0.000 5.504
Br 1.504 0.000 6.610
Br 9.164 0.000 0.000
Br 15.188 0.000 1.341
N 8.346 0.000 3.976
CELL_PARAMETERS angstrom
9.164 -1.896 0.000
9.164 1.896 0.000
-1.635 0.000 7.951
! SG   C2/m
! M_tot   0.00 μB per formula unit

[3]
! HfAu2 PBE-GGA optimized geometry; values from VASP
&SYSTEM
  ibrav = 0, nat = 6, ntyp = 2
/
ATOMIC_SPECIES
Hf 178.49 Hf.upf
Au 196.97 Au.upf
ATOMIC_POSITIONS angstrom
Hf 0.966 0.966 0.966
Hf 6.765 6.765 6.765
Au 3.866 1.933 1.933
Au 1.933 3.866 1.933
Au 1.933 1.933 3.866
Au 3.866 3.866 3.866
CELL_PARAMETERS angstrom
0.000 3.866 3.866
3.866 0.000 3.866
3.866 3.866 0.000
! DFT formation energy   -0.053 eV/atom
! SG   Fd-3m
! M_tot   1.45 μB per formula unit

[4]
! PmFe2 PBE-GGA optimized geometry; values from VASP
&SYSTEM
  ibrav = 0, nat = 6, ntyp = 2
/
ATOMIC_SPECIES
Pm 145.00 Pm.upf
Fe 55.84 Fe.upf
ATOMIC_POSITIONS angstrom
Pm 0.000 0.000 0.000
Pm 2.501 2.501 2.721
Fe 0.724 0.724 2.721
Fe 1.777 3.224 0.000
Fe 3.224 1.777 0.000
Fe 4.277 4.277 2.721
CELL_PARAMETERS angstrom
5.001 0.000 0.000
0.000 5.001 0.000
0.000 0.000 5.443
! DFT formation energy   1.167 eV/atom
! SG   P4_2/mnm
! M_tot   4.42 μB per formula unit
! ΔE to the lowest computed polymorph   1117 meV/atom

[5]
! ErAgNO PBE-GGA optimized geometry; values from VASP
&SYSTEM
  ibrav = 0, nat = 8, ntyp = 4
/
ATOMIC_SPECIES
Er 167.26 Er.upf
Ag 107.87 Ag.upf
N 14.01 N.upf
O 16.00 O.upf
ATOMIC_POSITIONS angstrom
Er 1.209 3.627 0.000
Er 3.627 1.209 0.000
Ag 1.209 1.209 2.235
Ag 3.627 3.627 2.256
N 1.209 1.209 4.480
N 3.627 3.627 0.010
O 1.209 3.627 2.245
O 3.627 1.209 2.245
CELL_PARAMETERS angstrom
4.836 0.000 0.000
0.000 4.836 0.000
0.000 0.000 4.491
! SG   P4/nmm
! M_tot   0.00 μB per formula unit
! ΔE to the lowest computed polymorph   0 meV/atom

[6]
! NdSnTe3Au PBE-GGA optimized geometry; values from VASP
&SYSTEM
  ibrav = 0, nat = 12, ntyp = 4
/
ATOMIC_SPECIES
Nd 144.24 Nd.upf
Sn 118.71 Sn.upf
Te 127.60 Te.upf
Au 196.97 Au.upf
ATOMIC_POSITIONS angstrom
Nd 1.166 1.089 1.839
Nd 4.277 3.268 8.487
Sn -0.129 3.268 7.287
Sn 5.572 1.089 3.039
Te -1.855 1.089 8.933
Te 0.394 1.089 4.893
Te 3.440 3.268 1.730
Te 2.003 1.089 8.596
Te 5.049 3.268 5.433
Te 7.298 3.268 1.393
Au 2.166 3.268 4.192
Au 3.278 1.089 6.134
CELL_PARAMETERS angstrom
8.412 0.000 0.000
0.000 4.357 0.000
-2.968 0.000 10.325
! SG   P2_1/m
! M_tot   0.00 μB per formula unit
! ΔE to the lowest computed polymorph   21 meV/atom

| no. | calculated total energy (eV/atom) |
| --- | --- |
| 1 | -5.582 |
| 2 | -4.924 |
| 3 | -5.549 |
| 4 | -5.954 |
| 5 | -6.276 |
| 6 | -4.237 |